1.
The following is a PBE calculation of a relaxed structure of Li4TlGeIr2, from OQMD via LeMat-Bulk.

a = 4.2937 Å, b = 4.2937 Å, c = 6.3423 Å
α = 90.00°, β = 90.00°, γ = 90.00°
Positions (direct):
Ir1 0.5000 0.0000 0.2121
Ir2 0.0000 0.5000 0.7879
Li1 0.0000 0.0000 0.5000
Li2 0.0000 0.5000 0.2328
Li3 0.5000 0.5000 0.0000
Li4 0.5000 0.0000 0.7672
Tl1 0.5000 0.5000 0.5000
Ge1 0.0000 0.0000 0.0000

Properties
Mass density in g cm⁻³: 9.79
DFT total energy in hartree per atom: -0.1591
SG: P-4m2, No. 115

***

2.
The following is a PBE calculation of a relaxed structure of Lu3Ge13Ir4, from OQMD via LeMat-Bulk.

a = 8.9742 Å, b = 8.9742 Å, c = 8.9742 Å
α = 90.00°, β = 90.00°, γ = 90.00°
Positions (direct):
Ge1 0.5000 0.8100 0.6440
Ge2 0.5000 0.1900 0.3560
Ge3 0.8100 0.6440 0.5000
Ge4 0.3560 0.5000 0.8100
Ge5 0.8560 0.6900 0.0000
Ge6 0.0000 0.8560 0.3100
Ge7 0.3100 0.0000 0.8560
Ge8 0.3560 0.5000 0.1900
Ge9 0.5000 0.1900 0.6440
Ge10 0.6900 0.0000 0.1440
Ge11 0.1900 0.3560 0.5000
Ge12 0.6440 0.5000 0.8100
Ge13 0.1440 0.3100 0.0000
Ge14 0.6440 0.5000 0.1900
Ge15 0.0000 0.0000 0.0000
Ge16 0.3100 0.0000 0.1440
Ge17 0.0000 0.1440 0.3100
Ge18 0.8560 0.3100 0.0000
Ge19 0.6900 0.0000 0.8560
Ge20 0.5000 0.5000 0.5000
Ge21 0.5000 0.8100 0.3560
Ge22 0.0000 0.1440 0.6900
Ge23 0.1440 0.6900 0.0000
Ge24 0.8100 0.3560 0.5000
Ge25 0.0000 0.8560 0.6900
Ge26 0.1900 0.6440 0.5000
Ir1 0.2500 0.2500 0.7500
Ir2 0.7500 0.7500 0.7500
Ir3 0.7500 0.2500 0.2500
Ir4 0.2500 0.7500 0.2500
Ir5 0.2500 0.2500 0.2500
Ir6 0.7500 0.7500 0.2500
Ir7 0.7500 0.2500 0.7500
Ir8 0.2500 0.7500 0.7500
Lu1 0.5000 0.7500 0.0000
Lu2 0.2500 0.0000 0.5000
Lu3 0.5000 0.2500 0.0000
Lu4 0.0000 0.5000 0.2500
Lu5 0.7500 0.0000 0.5000
Lu6 0.0000 0.5000 0.7500

Properties
Mass density in g cm⁻³: 10.28
DFT total energy in hartree per atom: -0.2179
SG: Pm-3n, No. 223

***

3.
The following is a PBE calculation of a relaxed structure of LuGeIr, from OQMD via LeMat-Bulk.

a = 6.7626 Å, b = 4.3455 Å, c = 7.4902 Å
α = 90.00°, β = 90.00°, γ = 90.00°
Positions (direct):
Ir1 0.2852 0.2500 0.0980
Ir2 0.2148 0.7500 0.5980
Ir3 0.7852 0.2500 0.4020
Ir4 0.7148 0.7500 0.9020
Ge1 0.8236 0.7500 0.5781
Ge2 0.3236 0.7500 0.9219
Ge3 0.6764 0.2500 0.0781
Ge4 0.1764 0.2500 0.4219
Lu1 0.0136 0.2500 0.8021
Lu2 0.4864 0.7500 0.3021
Lu3 0.9864 0.7500 0.1979
Lu4 0.5136 0.2500 0.6979

Properties
Mass density in g cm⁻³: 13.27
DFT total energy in hartree per atom: -0.2545
SG: Pnma, No. 62

***

4.
The following is a PBE calculation of a relaxed structure of LuGeIr, from OQMD via LeMat-Bulk.

a = 4.4469 Å, b = 4.4469 Å, c = 4.4469 Å
α = 60.00°, β = 60.00°, γ = 60.00°
Positions (direct):
Lu1 0.7500 0.7500 0.7500
Ir1 0.0000 0.0000 0.0000
Ge1 0.2500 0.2500 0.2500

Properties
Mass density in g cm⁻³: 11.75
DFT total energy in hartree per atom: -0.2445
SG: F-43m, No. 216

***

> Number 2 is which compound?

Lu3Ge13Ir4

***

> What is the formula in the first record?

Li4TlGeIr2

***

> Which value of mass density does entry 2 give?

10.28 g cm⁻³